[1]
# ScCrTe3

ScCrTe3 at its PBEsol-relaxed geometry (meta-GGA SCAN, the Alexandria database).

crystal system	cubic
raw formation energy	-7.01	kJ per mole of atoms
uncorrected energy	-144.74	eV/cell
symmetry	Pm-3m, No. 221

Cell lengths 5.1442, 5.1442, 5.1442 Å; angles 90.00, 90.00, 90.00 degrees
With the nearest neighbours (Å) after each atom.
Fractional coordinates of all 5 atoms:
Cr: 0.0000 0.0000 0.0000  6 Te 2.57
Te: 0.0000 0.0000 0.5000  2 Cr 2.57
Te: 0.5000 0.0000 0.0000  2 Cr 2.57
Te: 0.0000 0.5000 0.0000  2 Cr 2.57
Sc: 0.5000 0.5000 0.5000  12 Te 3.64

---

[2]
# ScCr3Te

ScCr3Te at its PBEsol-relaxed geometry (meta-GGA SCAN, the Alexandria database).

crystal system	cubic
raw formation energy	90.39	kJ per mole of atoms
uncorrected energy	-101.96	eV/cell
symmetry	Pm-3m, No. 221

Cell lengths 4.7472, 4.7472, 4.7472 Å; angles 90.00, 90.00, 90.00 degrees
With the nearest neighbours (Å) after each atom.
Fractional coordinates of all 5 atoms:
Cr: 0.0000 0.0000 0.5000  2 Te 2.37
Cr: 0.5000 0.0000 0.0000  2 Te 2.37
Cr: 0.0000 0.5000 0.0000  2 Te 2.37
Te: 0.0000 0.0000 0.0000  6 Cr 2.37
Sc: 0.5000 0.5000 0.5000  12 Cr 3.36

---

[3]
# ScCr4Te

ScCr4Te at its PBEsol-relaxed geometry (meta-GGA SCAN, the Alexandria database).

crystal system	cubic
raw formation energy	21.12	kJ per mole of atoms
uncorrected energy	-123.71	eV/cell
symmetry	F-43m, No. 216

Cell lengths 4.9095, 4.9095, 4.9095 Å; angles 60.00, 60.00, 60.00 degrees
With the nearest neighbours (Å) after each atom.
Fractional coordinates of all 6 atoms:
Cr: 0.8770 0.3743 0.3743  6 Cr 2.44-2.47
Cr: 0.3743 0.8770 0.3743  6 Cr 2.44-2.47
Cr: 0.3743 0.3743 0.8770  6 Cr 2.44-2.47
Cr: 0.3743 0.3743 0.3743  6 Cr 2.44-2.47
Sc: 0.7500 0.7500 0.7500  12 Cr 2.88, 4 Te 3.01
Te: 0.0000 0.0000 0.0000  12 Cr 2.88, 4 Sc 3.01

---

Look up the raw formation energy of the third one.
21.12 kJ per mole of atoms

---

What did the first record say?
# ScCrTe3

ScCrTe3 at its PBEsol-relaxed geometry (meta-GGA SCAN, the Alexandria database).

crystal system	cubic
raw formation energy	-7.01	kJ per mole of atoms
uncorrected energy	-144.74	eV/cell
symmetry	Pm-3m, No. 221

Cell lengths 5.1442, 5.1442, 5.1442 Å; angles 90.00, 90.00, 90.00 degrees
With the nearest neighbours (Å) after each atom.
Fractional coordinates of all 5 atoms:
Cr: 0.0000 0.0000 0.0000  6 Te 2.57
Te: 0.0000 0.0000 0.5000  2 Cr 2.57
Te: 0.5000 0.0000 0.0000  2 Cr 2.57
Te: 0.0000 0.5000 0.0000  2 Cr 2.57
Sc: 0.5000 0.5000 0.5000  12 Te 3.64

---

What is the uncorrected energy in the first record?
-144.74 eV/cell

---

Which of these has the lowest uncorrected energy?
ScCrTe3